Record 1
Density functional theory data (PBE-GGA) for an optimized crystal structure of HfMgPd4.

abc: 7.413 5.605 8.031
angles: 129.12 117.50 90.02
Sites, in units of the cell vectors:
Hf 0.133 0.899 0.766
Hf 0.867 0.101 0.234
Mg 0.385 0.647 0.270
Mg 0.615 0.353 0.730
Pd 0.950 0.264 0.010
Pd 0.440 0.736 0.990
Pd 0.297 0.500 0.500
Pd 0.703 0.500 0.500
Pd 0.193 0.000 0.500
Pd 0.560 0.264 0.010
Pd 0.807 0.000 0.500
Pd 0.050 0.736 0.990

Summary:
Density of states at the Fermi level   4.92 states/eV/cell
Uncorrected energy   -5.90 eV/atom
Formation energy   -0.5169 eV/atom

Record 2
Density functional theory data (PBE-GGA) for an optimized crystal structure of HfMg3Pd.

abc: 5.511 5.511 5.511
angles: 90.00 90.00 90.00
Sites, in units of the cell vectors:
Mg 0.000 0.500 0.000
Mg 0.000 0.000 0.500
Mg 0.500 0.000 0.000
Hf 0.000 0.000 0.000
Pd 0.500 0.500 0.500

Summary:
Density of states at the Fermi level   6.88 states/eV/cell
Uncorrected energy   -2.54 eV/atom
Formation energy   1.4500 eV/atom
Relative energy among the computed polymorphs   1.212 eV/atom

Number 1: spin magnetization 0.0 Bohr magnetons per cell. Number 2: spin magnetization 0.0 Bohr magnetons per cell.